1.
Compound: ScInHg
Source: the Alexandria database
Functional: PBE-GGA
Structure: relaxed

Calculated values
Offset from the most stable computed form = 152 meV per atom
Magnetic moment = 0.0 μB/cell

Lattice parameters (Å, degrees): 3.4719 3.4719 6.9267 90.00 90.00 120.00
Space group P3m1 (No. 156)
Symmetry-distinct sites (fractional):
Sc (0.0000, 0.0000, 0.0000) x1
In (0.3333, 0.6667, 0.6605) x1
Hg (0.6667, 0.3333, 0.3178) x1

***

2.
Compound: CePmGa5Ir2
Source: the Alexandria database
Functional: PBE-GGA
Structure: relaxed

Calculated values
Magnetic moment = 1.0 μB/cell

Lattice parameters (Å, degrees): 4.7567 4.7567 9.0004 90.00 90.00 90.00
Space group P4/mmm (No. 123)
Symmetry-distinct sites (fractional):
Ce (0.0000, 0.0000, 0.0000) x1
Pm (0.0000, 0.0000, 0.5000) x1
Ga (0.0000, 0.5000, 0.2213) x4
Ga (0.5000, 0.5000, 0.5000) x1
Ir (0.5000, 0.5000, 0.2418) x2

***

3.
Compound: Y2ZrIn
Source: the Alexandria database
Functional: PBE-GGA
Structure: relaxed

Calculated values
Offset from the most stable computed form = 439 meV per atom
Magnetic moment = 4.2 μB/cell

Lattice parameters (Å, degrees): 8.4586 8.4586 6.3339 90.00 90.00 90.00
Space group I-42d (No. 122)
Symmetry-distinct sites (fractional):
Y (0.2373, 0.2500, 0.1250) x8
Zr (0.0000, 0.0000, 0.5000) x4
In (0.0000, 0.0000, 0.0000) x4

***

Record order is preserved below.
ΔE_f: -0.168; -0.347; 0.241 eV/atom